Compound: K3BBr
Source: Alexandria
Functional: GGA-PBEsol
Structure: optimized geometry

Cell lengths 6.058, 6.058, 6.058 Å; angles 90.00, 90.00, 90.00 degrees
Fractional coordinates of all 5 atoms:
K: 0.000 0.500 0.000
K: 0.000 0.000 0.500
K: 0.500 0.000 0.000
B: 0.500 0.500 0.500
Br: 0.000 0.000 0.000

Space-group type   No. 221
Energy   -2.121 eV per atom

Compound: LiCaRh2
Source: Alexandria
Functional: GGA-PBEsol
Structure: optimized geometry

Cell lengths 2.836, 4.963, 4.963 Å; angles 114.12, 90.00, 90.00 degrees
Fractional coordinates of all 4 atoms:
Ca: 0.500 0.000 0.000
Li: 0.500 0.500 0.500
Rh: 0.000 0.500 0.000
Rh: 0.000 0.000 0.500

Space-group type   No. 65
E_form   0.062 eV/atom

Compound: Zr2InMo
Source: Alexandria
Functional: GGA-PBEsol
Structure: optimized geometry

Cell lengths 3.649, 4.620, 4.620 Å; angles 90.00, 90.00, 90.00 degrees
Fractional coordinates of all 4 atoms:
In: 0.500 0.500 0.500
Mo: 0.500 0.000 0.000
Zr: 0.000 0.000 0.500
Zr: 0.000 0.500 0.000

Space-group type   No. 123
E_form   -0.161 eV/atom

Compound: LaNiPdW2
Source: Alexandria
Functional: GGA-PBEsol
Structure: optimized geometry

Cell lengths 4.503, 4.503, 4.806 Å; angles 90.00, 90.00, 90.00 degrees
Fractional coordinates of all 5 atoms:
Ni: 0.000 0.000 0.000
Pd: 0.000 0.000 0.500
W: 0.000 0.500 0.000
W: 0.500 0.000 0.000
La: 0.500 0.500 0.500

Space-group type   No. 123
E_form   0.926 eV/atom

Compound: PrSi2Ag
Source: Alexandria
Functional: GGA-PBEsol
Structure: optimized geometry

Cell lengths 4.204, 4.206, 8.955 Å; angles 76.42, 90.00, 90.00 degrees
Fractional coordinates of all 8 atoms:
Pr: 0.250 0.598 0.805
Pr: 0.750 0.402 0.195
Si: 0.250 0.967 0.065
Si: 0.750 0.033 0.935
Si: 0.250 0.834 0.332
Si: 0.750 0.166 0.668
Ag: 0.250 0.252 0.497
Ag: 0.750 0.748 0.503

Space-group type   No. 63
Energy   -5.590 eV per atom

Compound: InRe3Pt
Source: Alexandria
Functional: GGA-PBEsol
Structure: optimized geometry

Cell lengths 4.712, 4.712, 4.712 Å; angles 90.00, 90.00, 90.00 degrees
Fractional coordinates of all 5 atoms:
Re: 0.000 0.500 0.000
Re: 0.000 0.000 0.500
Re: 0.500 0.000 0.000
Pt: 0.000 0.000 0.000
In: 0.500 0.500 0.500

Space-group type   No. 221
E_form   2.383 eV/atom